1.
A geometry-optimized MgTlAgBr6 structure, computed with PBE.

## Properties
Density: 5.04 g cm⁻³
E: -2.613 eV per atom
Energy relative to the elements, uncorrected: -741 meV per atom

a = 6.933 Å, b = 6.933 Å, c = 12.910 Å
α = 90.00°, β = 90.00°, γ = 120.00°
Element x y z (fractional)
Mg1 0.333 0.667 0.250
Mg2 0.667 0.333 0.750
Tl1 0.333 0.667 0.750
Tl2 0.667 0.333 0.250
Ag1 0.000 0.000 0.000
Ag2 0.000 0.000 0.500
Br1 0.012 0.354 0.128
Br2 0.012 0.659 0.372
Br3 0.341 0.354 0.372
Br4 0.341 0.988 0.128
Br5 0.354 0.012 0.628
Br6 0.354 0.341 0.872
Br7 0.646 0.659 0.128
Br8 0.646 0.988 0.372
Br9 0.659 0.012 0.872
Br10 0.659 0.646 0.628
Br11 0.988 0.341 0.628
Br12 0.988 0.646 0.872

2.
A geometry-optimized LiHg4 structure, computed with PBE.

## Properties
Density: 9.46 g cm⁻³
E: -0.643 eV per atom
Excess energy over the best structure of this formula in the dataset: 104 meV per atom
ΔE_f: -0.0189 eV per atom

a = 5.217 Å, b = 5.217 Å, c = 5.217 Å
α = 90.00°, β = 90.00°, γ = 90.00°
Element x y z (fractional)
Li1 0.000 0.000 0.000
Hg1 0.000 0.000 0.500
Hg2 0.000 0.500 0.000
Hg3 0.500 0.000 0.000
Hg4 0.500 0.500 0.500

> Which of these has the lowest density?

MgTlAgBr6